Density functional theory data (PBE-GGA) for a relaxed structure of Ho2TmCd5.

Cell and atoms, written as CIF:
```
data_Ho2TmCd5
_chemical_formula_sum 'Ho4 Tm2 Cd10'
_cell_length_a 5.089
_cell_length_b 7.248
_cell_length_c 10.494
_cell_angle_alpha 90.00
_cell_angle_beta 90.00
_cell_angle_gamma 90.00
_space_group_name_H-M_alt 'A m m 2'
_space_group_IT_number 38
loop_
_space_group_symop_operation_xyz
'x,y,z'
'-x,-y,z'
'-x,y,z'
'x,-y,z'
'x,y+1/2,z+1/2'
'-x,-y+1/2,z+1/2'
'-x,y+1/2,z+1/2'
'x,-y+1/2,z+1/2'
loop_
_atom_site_label
_atom_site_fract_x
_atom_site_fract_y
_atom_site_fract_z
Ho1 0.000 0.000 0.000
Ho2 0.500 0.000 0.297
Tm1 0.500 0.000 0.760
Cd1 0.000 0.000 0.510
Cd2 0.000 0.245 0.249
Cd3 0.500 0.237 0.032
```

Computed properties:
* uncorrected energy: -40.8 eV for the cell shown

Density functional theory data (PBE-GGA) for a relaxed structure of BeSbMo.

Cell and atoms, written as CIF:
```
data_BeSbMo
_chemical_formula_sum 'Be4 Sb4 Mo4'
_cell_length_a 5.829
_cell_length_b 5.829
_cell_length_c 5.829
_cell_angle_alpha 90.00
_cell_angle_beta 90.00
_cell_angle_gamma 90.00
_space_group_name_H-M_alt 'F -4 3 m'
_space_group_IT_number 216
_space_group_name_Hall 'F -4 2 3'
loop_
_atom_site_label
_atom_site_fract_x
_atom_site_fract_y
_atom_site_fract_z
Be1 0.000 0.000 0.000
Sb1 0.250 0.250 0.250
Mo1 0.250 0.250 0.750
```

Computed properties:
* relative energy among the computed polymorphs: 0.0 kJ/mol of formula units
* uncorrected energy: -67.4 eV for the cell shown

Density functional theory data (PBE-GGA) for a relaxed structure of PuTaAu.

Cell and atoms, written as CIF:
```
data_PuTaAu
_chemical_formula_sum 'Pu4 Ta4 Au4'
_cell_length_a 6.506
_cell_length_b 6.506
_cell_length_c 6.506
_cell_angle_alpha 90.00
_cell_angle_beta 90.00
_cell_angle_gamma 90.00
_space_group_name_H-M_alt 'F -4 3 m'
_space_group_IT_number 216
_space_group_name_Hall 'F -4 2 3'
loop_
_atom_site_label
_atom_site_fract_x
_atom_site_fract_y
_atom_site_fract_z
Pu1 0.000 0.000 0.000
Ta1 0.000 0.000 0.500
Au1 0.250 0.250 0.250
```

Computed properties:
* relative energy among the computed polymorphs: 0.0 kJ/mol of formula units
* uncorrected energy: -109.3 eV for the cell shown

Density functional theory data (PBE-GGA) for a relaxed structure of Re2Mo2W.

Cell and atoms, written as CIF:
```
data_Re2Mo2W
_chemical_formula_sum 'Re4 Mo4 W2'
_cell_length_a 4.042
_cell_length_b 4.042
_cell_length_c 10.828
_cell_angle_alpha 90.00
_cell_angle_beta 90.00
_cell_angle_gamma 90.00
_space_group_name_H-M_alt 'I 4/m m m'
_space_group_IT_number 139
_space_group_name_Hall '-I 4 2'
loop_
_atom_site_label
_atom_site_fract_x
_atom_site_fract_y
_atom_site_fract_z
Re1 0.000 0.000 0.109
Mo1 0.000 0.500 0.250
W1 0.000 0.000 0.500
```

Computed properties:
* relative energy among the computed polymorphs: 0.0 kJ/mol of formula units
* uncorrected energy: -109.7 eV for the cell shown

Density functional theory data (PBE-GGA) for a relaxed structure of LiHfAlPd.

Cell and atoms, written as CIF:
```
data_LiHfAlPd
_chemical_formula_sum 'Li4 Hf4 Al4 Pd4'
_cell_length_a 6.317
_cell_length_b 6.317
_cell_length_c 6.317
_cell_angle_alpha 90.00
_cell_angle_beta 90.00
_cell_angle_gamma 90.00
_space_group_name_H-M_alt 'F -4 3 m'
_space_group_IT_number 216
_space_group_name_Hall 'F -4 2 3'
loop_
_atom_site_label
_atom_site_fract_x
_atom_site_fract_y
_atom_site_fract_z
Li1 0.000 0.000 0.000
Hf1 0.250 0.250 0.750
Al1 0.250 0.250 0.250
Pd1 0.000 0.000 0.500
```

Computed properties:
* relative energy among the computed polymorphs: 0.0 kJ/mol of formula units
* uncorrected energy: -92.9 eV for the cell shown

Density functional theory data (PBE-GGA) for a relaxed structure of Ga2AgIr.

Cell and atoms, written as CIF:
```
data_Ga2AgIr
_chemical_formula_sum 'Ga8 Ag4 Ir4'
_cell_length_a 6.357
_cell_length_b 6.357
_cell_length_c 6.357
_cell_angle_alpha 90.00
_cell_angle_beta 90.00
_cell_angle_gamma 90.00
_space_group_name_H-M_alt 'F -4 3 m'
_space_group_IT_number 216
_space_group_name_Hall 'F -4 2 3'
loop_
_atom_site_label
_atom_site_fract_x
_atom_site_fract_y
_atom_site_fract_z
Ga1 0.000 0.000 0.000
Ga2 0.250 0.250 0.250
Ag1 0.000 0.000 0.500
Ir1 0.250 0.250 0.750
```

Computed properties:
* uncorrected energy: -68.4 eV for the cell shown

Density functional theory data (PBE-GGA) for a relaxed structure of NdSmCuSe3.

Cell and atoms, written as CIF:
```
data_NdSmCuSe3
_chemical_formula_sum 'Nd4 Sm4 Cu4 Se12'
_cell_length_a 3.982
_cell_length_b 13.347
_cell_length_c 10.944
_cell_angle_alpha 90.00
_cell_angle_beta 90.00
_cell_angle_gamma 90.00
_space_group_name_H-M_alt 'C m c m'
_space_group_IT_number 63
_space_group_name_Hall '-C 2c 2'
loop_
_atom_site_label
_atom_site_fract_x
_atom_site_fract_y
_atom_site_fract_z
Nd1 0.000 0.000 0.000
Sm1 0.000 0.234 0.250
Cu1 0.000 0.472 0.750
Se1 0.000 0.091 0.750
Se2 0.000 0.350 0.581
```

Computed properties:
* uncorrected energy: -128.4 eV for the cell shown

Density functional theory data (PBE-GGA) for a relaxed structure of YCdHg2.

Cell and atoms, written as CIF:
```
data_YCdHg2
_chemical_formula_sum 'Y1 Cd1 Hg2'
_cell_length_a 4.778
_cell_length_b 4.778
_cell_length_c 4.247
_cell_angle_alpha 90.00
_cell_angle_beta 90.00
_cell_angle_gamma 90.00
_space_group_name_H-M_alt 'P 4/m m m'
_space_group_IT_number 123
_space_group_name_Hall '-P 4 2'
loop_
_atom_site_label
_atom_site_fract_x
_atom_site_fract_y
_atom_site_fract_z
Y1 0.000 0.000 0.000
Cd1 0.500 0.500 0.000
Hg1 0.000 0.500 0.500
```

Computed properties:
* uncorrected energy: -9.3 eV for the cell shown

Density functional theory data (PBE-GGA) for a relaxed structure of Pr3Sc3Te2Os.

Cell and atoms, written as CIF:
```
data_Pr3Sc3Te2Os
_chemical_formula_sum 'Pr3 Sc3 Te2 Os1'
_cell_length_a 8.3883
_cell_length_b 8.3883
_cell_length_c 3.8764
_cell_angle_alpha 90.00
_cell_angle_beta 90.00
_cell_angle_gamma 120.00
_space_group_name_H-M_alt 'P -6 2 m'
_space_group_IT_number 189
_space_group_name_Hall 'P -6 -2'
loop_
_atom_site_label
_atom_site_fract_x
_atom_site_fract_y
_atom_site_fract_z
Pr1 0.0000 0.2520 0.0000
Sc1 0.0000 0.6051 0.5000
Te1 0.3333 0.6667 0.0000
Os1 0.0000 0.0000 0.5000
```

Computed properties:
* uncorrected energy: -55.1 eV for the cell shown

Density functional theory data (PBE-GGA) for a relaxed structure of Ho3Sc3Te2Ir.

Cell and atoms, written as CIF:
```
data_Ho3Sc3Te2Ir
_chemical_formula_sum 'Ho3 Sc3 Te2 Ir1'
_cell_length_a 8.1333
_cell_length_b 8.1333
_cell_length_c 3.8351
_cell_angle_alpha 90.00
_cell_angle_beta 90.00
_cell_angle_gamma 120.00
_space_group_name_H-M_alt 'P -6 2 m'
_space_group_IT_number 189
_space_group_name_Hall 'P -6 -2'
loop_
_atom_site_label
_atom_site_fract_x
_atom_site_fract_y
_atom_site_fract_z
Ho1 0.0000 0.2483 0.0000
Sc1 0.0000 0.6066 0.5000
Te1 0.3333 0.6667 0.0000
Ir1 0.0000 0.0000 0.5000
```

Computed properties:
* relative energy among the computed polymorphs: 106.1 kJ/mol of formula units
* uncorrected energy: -54.7 eV for the cell shown

Density functional theory data (PBE-GGA) for a relaxed structure of BPd3Pb.

Cell and atoms, written as CIF:
```
data_BPd3Pb
_chemical_formula_sum 'B2 Pd6 Pb2'
_cell_length_a 6.009
_cell_length_b 6.009
_cell_length_c 4.415
_cell_angle_alpha 90.00
_cell_angle_beta 90.00
_cell_angle_gamma 90.00
_space_group_name_H-M_alt 'P 4/m b m'
_space_group_IT_number 127
_space_group_name_Hall '-P 4 2ab'
loop_
_atom_site_label
_atom_site_fract_x
_atom_site_fract_y
_atom_site_fract_z
B1 0.000 0.000 0.000
Pd1 0.000 0.000 0.500
Pd2 0.207 0.293 0.000
Pb1 0.000 0.500 0.500
```

Computed properties:
* uncorrected energy: -53.6 eV for the cell shown

Density functional theory data (PBE-GGA) for a relaxed structure of PaSe2.

Cell and atoms, written as CIF:
```
data_PaSe2
_chemical_formula_sum 'Pa4 Se8'
_cell_length_a 3.9136
_cell_length_b 3.9136
_cell_length_c 27.3930
_cell_angle_alpha 90.00
_cell_angle_beta 90.00
_cell_angle_gamma 120.00
_space_group_name_H-M_alt 'P 63 m c'
_space_group_IT_number 186
_space_group_name_Hall 'P 6c -2c'
loop_
_atom_site_label
_atom_site_fract_x
_atom_site_fract_y
_atom_site_fract_z
Pa1 0.3333 0.6667 0.0000
Pa2 0.3333 0.6667 0.2540
Se1 0.0000 0.0000 0.0642
Se2 0.0000 0.0000 0.4358
Se3 0.3333 0.6667 0.6897
Se4 0.3333 0.6667 0.8183
```

Computed properties:
* uncorrected energy: -80.6 eV for the cell shown